<1>
Compound: YSbPd6
Source: the Alexandria database
Functional: PBE-GGA
Structure: optimized geometry

Cell: 5.468 5.468 7.510 Å, 68.65 68.65 60.00°
Element x y z (fractional)
Pd (0.559, 0.070, 0.302)
Pd (0.070, 0.559, 0.302)
Pd (0.070, 0.070, 0.302)
Pd (0.930, 0.441, 0.698)
Pd (0.441, 0.930, 0.698)
Pd (0.930, 0.930, 0.698)
Sb (0.000, 0.000, 0.000)
Y (0.500, 0.500, 0.500)

**Total moment**: 0.00 μB per formula unit
**Density of states at the Fermi level**: 3.52 states/eV/f.u.
**Volume**: 22.1 Å³/atom


<2>
Compound: YSbPd6
Source: the Alexandria database
Functional: PBE-GGA
Structure: optimized geometry

Cell: 4.117 5.766 5.766 Å, 89.98 90.00 90.00°
Element x y z (fractional)
Pd (0.500, 0.500, 0.000)
Pd (0.500, 0.000, 0.500)
Pd (0.000, 0.253, 0.253)
Pd (0.000, 0.747, 0.747)
Pd (0.000, 0.747, 0.253)
Pd (0.000, 0.253, 0.747)
Sb (0.500, 0.500, 0.500)
Y (0.500, 0.000, 0.000)

**Total moment**: 0.00 μB per formula unit
**Density of states at the Fermi level**: 2.80 states/eV/f.u.
**Volume**: 17.1 Å³/atom


Most favorable first, least favorable last: <2>, <1>


<1>
Compound: Y2SbPd2
Source: the Alexandria database
Functional: PBE-GGA
Structure: optimized geometry

Cell: 3.932 3.932 8.237 Å, 76.19 76.19 90.00°
Element x y z (fractional)
Pd (0.750, 0.250, 0.500)
Pd (0.250, 0.750, 0.500)
Y (0.388, 0.388, 0.225)
Y (0.612, 0.612, 0.775)
Sb (0.000, 0.000, 0.000)

**Total moment**: 0.00 μB per formula unit
**Density of states at the Fermi level**: 2.48 states/eV/f.u.
**Volume**: 24.0 Å³/atom


<2>
Compound: Y2SbPd2
Source: the Alexandria database
Functional: PBE-GGA
Structure: optimized geometry

Cell: 7.549 7.549 3.936 Å, 90.00 90.00 90.00°
Element x y z (fractional)
Y (0.326, 0.174, 0.500)
Y (0.674, 0.826, 0.500)
Y (0.826, 0.326, 0.500)
Y (0.174, 0.674, 0.500)
Pd (0.872, 0.628, 0.000)
Pd (0.372, 0.872, 0.000)
Pd (0.628, 0.128, 0.000)
Pd (0.128, 0.372, 0.000)
Sb (0.500, 0.500, 0.000)
Sb (0.000, 0.000, 0.000)

**Total moment**: 0.00 μB per formula unit
**Density of states at the Fermi level**: 4.03 states/eV/f.u.
**Volume**: 22.4 Å³/atom


<3>
Compound: Y2SbPd2
Source: the Alexandria database
Functional: PBE-GGA
Structure: optimized geometry

Cell: 8.200 8.200 3.552 Å, 90.00 90.00 90.00°
Element x y z (fractional)
Sb (0.500, 0.500, 0.000)
Sb (0.000, 0.000, 0.000)
Pd (0.876, 0.376, 0.500)
Pd (0.376, 0.124, 0.500)
Pd (0.624, 0.876, 0.500)
Pd (0.124, 0.624, 0.500)
Y (0.337, 0.837, 0.000)
Y (0.163, 0.337, 0.000)
Y (0.663, 0.163, 0.000)
Y (0.837, 0.663, 0.000)

**Total moment**: 0.00 μB per formula unit
**Density of states at the Fermi level**: 4.84 states/eV/f.u.
**Volume**: 23.9 Å³/atom


<4>
Compound: Y2SbPd2
Source: the Alexandria database
Functional: PBE-GGA
Structure: optimized geometry

Cell: 5.477 5.477 5.617 Å, 60.82 60.82 90.00°
Element x y z (fractional)
Y (0.750, 0.250, 0.500)
Y (0.250, 0.750, 0.500)
Pd (0.346, 0.346, 0.308)
Pd (0.654, 0.654, 0.692)
Sb (0.000, 0.000, 0.000)

**Total moment**: 0.00 μB per formula unit
**Density of states at the Fermi level**: 5.12 states/eV/f.u.
**Volume**: 24.4 Å³/atom


Most favorable first, least favorable last: <2>, <1>, <4>, <3>


<1>
Compound: YSbPd4
Source: the Alexandria database
Functional: PBE-GGA
Structure: optimized geometry

Cell: 5.408 5.408 9.023 Å, 90.00 90.00 90.00°
Element x y z (fractional)
Pd (0.000, 0.264, 0.235)
Pd (0.236, 0.500, 0.735)
Pd (0.264, 0.000, 0.765)
Pd (0.764, 0.500, 0.735)
Pd (0.500, 0.236, 0.265)
Pd (0.500, 0.764, 0.265)
Pd (0.000, 0.736, 0.235)
Pd (0.736, 0.000, 0.765)
Y (0.500, 0.500, 0.000)
Y (0.000, 0.000, 0.500)
Sb (0.500, 0.500, 0.500)
Sb (0.000, 0.000, 0.000)

**Total moment**: 0.00 μB per formula unit
**Density of states at the Fermi level**: 3.07 states/eV/f.u.
**Volume**: 22.0 Å³/atom


<2>
Compound: YSbPd4
Source: the Alexandria database
Functional: PBE-GGA
Structure: optimized geometry

Cell: 5.405 5.405 5.405 Å, 60.00 60.00 60.00°
Element x y z (fractional)
Y (0.000, 0.000, 0.000)
Pd (0.124, 0.625, 0.625)
Pd (0.625, 0.625, 0.625)
Pd (0.625, 0.625, 0.124)
Pd (0.625, 0.124, 0.625)
Sb (0.250, 0.250, 0.250)

**Total moment**: 0.00 μB per formula unit
**Density of states at the Fermi level**: 6.10 states/eV/f.u.
**Volume**: 18.6 Å³/atom


Most favorable first, least favorable last: <2>, <1>